No. 1
Density functional theory data (GGA-PBE) for crystalline SrPtSeO at its relaxed geometry.

Cell and atoms, written as POSCAR:
```
SrPtSeO
1.0
7.119 0.000 0.000
0.000 7.814 0.000
0.000 0.000 5.990
O Pt Sr Se
4 4 4 4
Direct
0.090 0.103 0.085
0.590 0.897 0.085
0.410 0.103 0.585
0.910 0.897 0.585
0.592 0.292 0.500
0.408 0.708 0.000
0.908 0.292 0.000
0.092 0.708 0.500
0.579 0.844 0.492
0.421 0.156 0.992
0.079 0.156 0.492
0.921 0.844 0.992
0.165 0.532 0.173
0.335 0.532 0.673
0.835 0.468 0.673
0.665 0.468 0.173
```

Summary:
Energy above the lowest structure with this stoichiometry (eV/atom): 0.000
Volume (Å³/f.u.): 83.3
Total energy (eV/atom): -5.3032



No. 2
Density functional theory data (GGA-PBE) for crystalline SiPtO4 at its relaxed geometry.

Cell and atoms, written as POSCAR:
```
SiPtO4
1.0
4.316 2.165 2.620
-2.243 -4.113 2.869
1.711 -1.979 -4.831
O Si Pt
8 2 2
Direct
0.622 0.933 0.689
0.683 0.494 0.811
0.067 0.378 0.311
0.128 0.317 0.811
0.067 0.756 0.689
0.244 0.933 0.311
0.683 0.872 0.189
0.506 0.317 0.189
0.250 0.750 0.500
0.500 0.500 0.000
0.000 0.000 0.000
0.750 0.250 0.500
```

Summary:
Volume (Å³/f.u.): 63.8
Total energy (eV/atom): -6.2433



No. 3
Density functional theory data (GGA-PBE) for crystalline Si2Pt2O5 at its relaxed geometry.

Cell and atoms, written as POSCAR:
```
Si2Pt2O5
1.0
8.138 0.000 0.000
0.000 3.397 0.000
0.000 0.000 3.397
Pt O Si
2 5 2
Direct
0.000 0.000 0.000
0.500 0.000 0.000
0.500 0.500 0.500
0.226 0.500 0.000
0.774 0.000 0.500
0.774 0.500 0.000
0.226 0.000 0.500
0.280 0.500 0.500
0.720 0.500 0.500
```

Summary:
Energy above the lowest structure with this stoichiometry (eV/atom): 0.000
Volume (Å³/f.u.): 93.9
Total energy (eV/atom): -6.0548